# 1
Entry from Alexandria: a geometry-optimized LaBiPt5 structure (PBE).

Total energy in eV/atom: -6.157
E_form in meV per atom: -584

a b c (Å): 5.576 8.988 11.167
angles (deg): 90.00 90.00 90.00
Sites, in units of the cell vectors:
La (0.250, 0.257, 0.946)
La (0.750, 0.243, 0.446)
La (0.250, 0.757, 0.554)
La (0.750, 0.743, 0.054)
Bi (0.250, 0.863, 0.856)
Bi (0.750, 0.637, 0.356)
Bi (0.250, 0.363, 0.644)
Bi (0.750, 0.137, 0.144)
Pt (0.250, 0.590, 0.025)
Pt (0.750, 0.910, 0.525)
Pt (0.250, 0.090, 0.475)
Pt (0.750, 0.410, 0.975)
Pt (0.750, 0.337, 0.734)
Pt (0.250, 0.163, 0.234)
Pt (0.750, 0.837, 0.766)
Pt (0.250, 0.663, 0.266)
Pt (0.250, 0.910, 0.096)
Pt (0.750, 0.590, 0.596)
Pt (0.250, 0.410, 0.404)
Pt (0.750, 0.090, 0.904)
Pt (0.997, 0.418, 0.187)
Pt (0.003, 0.082, 0.687)
Pt (0.503, 0.918, 0.313)
Pt (0.497, 0.582, 0.813)
Pt (0.003, 0.582, 0.813)
Pt (0.997, 0.918, 0.313)
Pt (0.497, 0.082, 0.687)
Pt (0.503, 0.418, 0.187)

***

# 2
Entry from Alexandria: a geometry-optimized TbNpPdRu structure (PBE).

Total energy in eV/atom: -8.273
E_form in meV per atom: -263

a b c (Å): 4.871 4.871 4.871
angles (deg): 60.00 60.00 60.00
Sites, in units of the cell vectors:
Np (0.000, 0.000, 0.000)
Ru (0.750, 0.750, 0.750)
Tb (0.500, 0.500, 0.500)
Pd (0.250, 0.250, 0.250)

***

# 3
Entry from Alexandria: a geometry-optimized KPu2Cl8 structure (PBE).

Total energy in eV/atom: -5.850
Formation energy (no corrections) in eV per formula unit: -19.8
Offset from the most stable computed form in meV/atom: 24

a b c (Å): 5.425 7.671 7.671
angles (deg): 112.77 95.06 95.06
Sites, in units of the cell vectors:
K (0.500, 0.000, 0.000)
Pu (0.000, 0.322, 0.678)
Pu (0.000, 0.678, 0.322)
Cl (0.920, 0.948, 0.670)
Cl (0.920, 0.670, 0.948)
Cl (0.272, 0.602, 0.602)
Cl (0.500, 0.736, 0.264)
Cl (0.500, 0.264, 0.736)
Cl (0.728, 0.398, 0.398)
Cl (0.080, 0.330, 0.052)
Cl (0.080, 0.052, 0.330)

***

# 4
Entry from Alexandria: a geometry-optimized PaV2Sn structure (PBE).

Total energy in eV/atom: -7.948
Offset from the most stable computed form in meV/atom: 0
E_form in meV per atom: -14

a b c (Å): 3.513 4.571 4.571
angles (deg): 90.00 90.00 90.00
Sites, in units of the cell vectors:
Pa (0.500, 0.500, 0.500)
Sn (0.500, 0.000, 0.000)
V (0.000, 0.000, 0.500)
V (0.000, 0.500, 0.000)

***

# 5
Entry from Alexandria: a geometry-optimized NdTm2OsO8 structure (PBE).

Total energy in eV/atom: -7.911
Formation energy (no corrections) in eV per formula unit: -30.3

a b c (Å): 5.028 5.026 6.826
angles (deg): 90.00 90.00 89.42
Sites, in units of the cell vectors:
Nd (0.000, 0.000, 0.500)
Tm (0.500, 0.500, 0.747)
Tm (0.500, 0.500, 0.253)
Os (0.000, 0.000, 0.000)
O (0.188, 0.812, 0.203)
O (0.735, 0.735, 0.000)
O (0.812, 0.188, 0.203)
O (0.812, 0.188, 0.797)
O (0.265, 0.265, 0.000)
O (0.188, 0.812, 0.797)
O (0.683, 0.682, 0.500)
O (0.317, 0.318, 0.500)

***

# 6
Entry from Alexandria: a geometry-optimized ScHg4Pd5 structure (PBE).

Total energy in eV/atom: -3.703
E_form in meV per atom: -352

a b c (Å): 3.450 3.449 15.204
angles (deg): 90.00 90.00 90.00
Sites, in units of the cell vectors:
Sc (0.000, 0.000, 0.000)
Hg (0.000, 0.000, 0.198)
Hg (0.000, 0.000, 0.399)
Hg (0.000, 0.000, 0.601)
Hg (0.000, 0.000, 0.802)
Pd (0.500, 0.500, 0.095)
Pd (0.500, 0.500, 0.299)
Pd (0.500, 0.500, 0.500)
Pd (0.500, 0.500, 0.701)
Pd (0.500, 0.500, 0.905)

***

# 7
Entry from Alexandria: a geometry-optimized NpInRhO6 structure (PBE).

Total energy in eV/atom: -7.562
Formation energy (no corrections) in eV per formula unit: -15.3

a b c (Å): 5.421 5.421 8.877
angles (deg): 90.00 90.00 120.00
Sites, in units of the cell vectors:
Np (0.667, 0.333, 0.250)
Np (0.333, 0.667, 0.750)
In (0.333, 0.667, 0.250)
In (0.667, 0.333, 0.750)
Rh (0.000, 0.000, 0.000)
Rh (0.000, 0.000, 0.500)
O (0.685, 0.668, 0.124)
O (0.983, 0.315, 0.124)
O (0.315, 0.983, 0.624)
O (0.017, 0.685, 0.876)
O (0.332, 0.315, 0.376)
O (0.983, 0.668, 0.376)
O (0.668, 0.983, 0.876)
O (0.685, 0.017, 0.376)
O (0.017, 0.332, 0.624)
O (0.332, 0.017, 0.124)
O (0.668, 0.685, 0.624)
O (0.315, 0.332, 0.876)

***

# 8
Entry from Alexandria: a geometry-optimized CdBiSe2Br structure (PBE).

Total energy in eV/atom: -2.540
Formation energy (no corrections) in eV per formula unit: 0.7

a b c (Å): 5.574 5.574 5.620
angles (deg): 90.00 90.00 90.00
Sites, in units of the cell vectors:
Se (0.000, 0.500, 0.000)
Se (0.500, 0.000, 0.000)
Bi (0.000, 0.000, 0.000)
Br (0.000, 0.000, 0.500)
Cd (0.500, 0.500, 0.500)